[1]
# CaZr2Be

CaZr2Be after structural relaxation (PBE, Alexandria).

```
CaZr2Be
1.0
5.0084 0.0000 0.0000
0.0000 5.0084 0.0000
2.5042 2.5042 9.3024
Be Ca Zr
2 2 4
direct
0.5000 0.5000 0.0000
0.2500 0.7500 0.5000
0.0000 0.0000 0.0000
0.7500 0.2500 0.5000
0.4104 0.1250 0.2500
0.3396 0.6250 0.2500
0.3750 0.5896 0.7500
0.8750 0.6604 0.7500
```

Results
Total DFT energy (no corrections): -4.712 eV/atom
Density of states at the Fermi level: 0.96 states/eV per atom

[2]
# TaBeHgP2

TaBeHgP2 after structural relaxation (PBE, Alexandria).

```
TaBeHgP2
1.0
4.7646 0.0000 0.0000
0.0000 4.7646 0.0000
0.0000 0.0000 5.5302
P Be Hg Ta
2 1 1 1
direct
0.0000 0.5000 0.0000
0.5000 0.0000 0.0000
0.5000 0.5000 0.5000
0.0000 0.0000 0.5000
0.0000 0.0000 0.0000
```

Results
Total DFT energy (no corrections): -4.463 eV/atom
Density of states at the Fermi level: 0.64 states/eV per atom

[3]
# HfMoBrCl2

HfMoBrCl2 after structural relaxation (PBE, Alexandria).

```
HfMoBrCl2
1.0
-3.9210 4.4101 -0.2936
-2.6987 -2.5909 -2.8755
-2.8488 -2.2215 4.6753
Mo Hf Br Cl
1 1 1 2
direct
0.0000 0.5000 0.0000
0.5000 0.5000 0.5000
0.0000 0.0000 0.0000
0.0000 0.0000 0.5000
0.5000 0.0000 0.0000
```

Results
Formation energy (no corrections): 1.3327 eV/atom
Density of states at the Fermi level: 0.48 states/eV per atom

[4]
# TbSm7

TbSm7 after structural relaxation (PBE, Alexandria).

```
TbSm7
1.0
7.2316 0.0000 0.0000
3.6158 6.2628 0.0000
3.6158 2.0876 5.9046
Tb Sm
1 7
direct
0.0000 0.0000 0.0000
0.5000 0.5000 0.0000
0.5000 0.0000 0.5000
0.0000 0.5000 0.5000
0.5000 0.0000 0.0000
0.0000 0.5000 0.0000
0.0000 0.0000 0.5000
0.5000 0.5000 0.5000
```

Results
Total DFT energy (no corrections): -4.698 eV/atom
Density of states at the Fermi level: 1.23 states/eV per atom

[5]
# CdP2Au

CdP2Au after structural relaxation (PBE, Alexandria).

```
CdP2Au
1.0
-1.2559 0.6705 6.2674
-3.3878 -2.2538 4.9749
0.3310 -2.7950 5.7780
Au Cd P
1 1 2
direct
0.7500 0.7500 0.7500
0.2500 0.2500 0.2500
0.0139 0.0139 0.0139
0.4861 0.4861 0.4861
```

Results
Total DFT energy (no corrections): -3.535 eV/atom
Density of states at the Fermi level: 0.41 states/eV per atom

[6]
# ErNiSnRu

ErNiSnRu after structural relaxation (PBE, Alexandria).

```
ErNiSnRu
1.0
-2.1119 0.6233 -4.0622
2.2839 -0.7950 -3.9372
-1.1024 -3.6469 -2.6144
Ru Ni Sn Er
1 1 1 1
direct
0.0000 0.0000 0.0000
0.5000 0.5000 0.5000
0.7500 0.7500 0.7500
0.2500 0.2500 0.2500
```

Results
Total DFT energy (no corrections): -6.304 eV/atom
Density of states at the Fermi level: 0.87 states/eV per atom

[7]
# Hg2GeSe

Hg2GeSe after structural relaxation (PBE, Alexandria).

```
Hg2GeSe
1.0
2.4544 -4.2717 1.2896
-2.6292 -4.0851 1.5277
-0.2911 -4.1074 -2.9964
Ge Hg Se
1 2 1
direct
0.0000 0.0000 0.0000
0.2500 0.2500 0.2500
0.7500 0.7500 0.7500
0.5000 0.5000 0.5000
```

Results
Formation energy (no corrections): 0.3611 eV/atom
Density of states at the Fermi level: 0.80 states/eV per atom
ΔE to the lowest computed polymorph: 470 meV per atom

[8]
# BaPdS

BaPdS after structural relaxation (PBE, Alexandria).

```
BaPdS
1.0
-3.9133 -0.1635 -2.1586
-1.1622 -8.0161 3.3236
-2.1882 0.6580 3.9189
S Ba Pd
2 2 2
direct
0.8162 0.8340 0.1820
0.7854 0.2709 0.4650
0.2682 0.9905 0.6041
0.2959 0.4324 0.8839
0.8035 0.5521 0.3239
0.3147 0.7421 0.2285
```

Results
Formation energy (no corrections): -1.1700 eV/atom
Density of states at the Fermi level: 0.00 states/eV per atom

[9]
# LaErTe2

LaErTe2 after structural relaxation (PBE, Alexandria).

```
LaErTe2
1.0
-1.6030 -1.9810 -4.8077
-4.7791 -2.5660 -0.4285
-4.1179 2.3465 -2.6731
La Te Er
1 2 1
direct
0.5000 0.5000 0.5000
0.2500 0.2500 0.2500
0.7500 0.7500 0.7500
0.0000 0.0000 0.0000
```

Results
Formation energy (no corrections): -1.2551 eV/atom
Density of states at the Fermi level: 0.80 states/eV per atom
ΔE to the lowest computed polymorph: 160 meV per atom

[10]
# DyInAu

DyInAu after structural relaxation (PBE, Alexandria).

```
DyInAu
1.0
7.7250 0.0000 0.0000
-3.8625 6.6901 0.0000
0.0000 0.0000 4.0397
Dy In Au
3 3 3
direct
0.5935 0.0000 0.5000
0.4065 0.4065 0.5000
0.0000 0.5935 0.5000
0.7407 0.7407 0.0000
0.0000 0.2593 0.0000
0.2593 0.0000 0.0000
0.3333 0.6667 0.0000
0.6667 0.3333 0.0000
0.0000 0.0000 0.5000
```

Results
Total DFT energy (no corrections): -4.285 eV/atom
Density of states at the Fermi level: 0.38 states/eV per atom

[11]
# PrEr4Tm2

PrEr4Tm2 after structural relaxation (PBE, Alexandria).

```
PrEr4Tm2
1.0
-6.0563 1.1169 -0.0350
-0.7411 -4.1717 -4.8818
1.7043 -8.7585 7.2259
Pr Er Tm
2 8 4
direct
0.1838 0.7500 0.1354
0.8162 0.2500 0.8646
0.6365 0.4923 0.2874
0.9866 0.7500 0.8336
0.0134 0.2500 0.1664
0.6365 0.0077 0.2874
0.8702 0.2500 0.5745
0.3635 0.9923 0.7126
0.3635 0.5077 0.7126
0.1298 0.7500 0.4255
0.6169 0.7500 0.0068
0.3831 0.2500 0.9932
0.3086 0.2500 0.4515
0.6914 0.7500 0.5485
```

Results
Density of states at the Fermi level: 1.66 states/eV per atom
ΔE to the lowest computed polymorph: 95 meV per atom

[12]
# Ac8GeIr3Cl4

Ac8GeIr3Cl4 after structural relaxation (PBE, Alexandria).

```
Ac8GeIr3Cl4
1.0
-6.8687 -2.9892 4.7566
5.8709 -4.8056 5.4578
1.2934 8.7297 -0.9231
Ac Ge Ir Cl
8 1 3 4
direct
0.2420 0.7045 0.9627
0.2419 0.7044 0.4839
0.2646 0.2939 0.5291
0.7206 0.7045 0.9627
0.2794 0.2955 0.0373
0.7354 0.7061 0.4709
0.7581 0.2956 0.5161
0.7580 0.2955 0.0373
0.0000 0.5000 0.0000
0.5000 0.5000 0.0000
0.5000 0.5000 0.5000
0.0000 0.5000 0.5000
0.5000 0.0000 0.0000
0.5000 0.0000 0.5000
0.0000 0.0000 0.0000
0.0000 0.0000 0.5000
```

Results
Formation energy (no corrections): -1.2272 eV/atom
Density of states at the Fermi level: 0.70 states/eV per atom